Computed, not measured: a geometry-optimized PrSm2HoH structure at the PBE level of DFT.

Structure (extended XYZ):
```
5
Lattice="5.078 0.000 0.000 0.000 5.100 0.000 0.000 0.000 5.100" Properties=species:S:1:pos:R:3 pbc="T T T"
H 0.000 0.000 0.000
Ho 2.539 0.000 0.000
Sm 0.000 0.000 2.550
Sm 0.000 2.550 0.000
Pr 2.539 2.550 2.550
```

For the total magnetic moment, the calculation gives 0.00 μB/cell. The total energy comes out at -4.60 eV per atom.